{"formula": "ScCo3B2", "functional": "PBE", "state": "relaxed", "m_tot_mub_per_cell": 0.0, "final_energy_ev_per_atom": -7.38, "cell": [[4.878, 0.000, 0.000], [-2.439, 4.225, 0.000], [0.000, 0.000, 2.967]], "species": ["Sc", "Co", "Co", "Co", "B", "B"], "fractional_positions": [[0.000, 0.000, 0.000], [0.000, 0.500, 0.500], [0.500, 0.000, 0.500], [0.500, 0.500, 0.500], [0.333, 0.667, 0.000], [0.667, 0.333, 0.000]]}


{"formula": "ScCoB", "functional": "PBE", "state": "relaxed", "m_tot_mub_per_cell": 0.0, "final_energy_ev_per_atom": -7.22, "cell": [[6.043, 0.000, 0.000], [0.000, 3.372, 0.000], [0.000, 0.000, 7.074]], "species": ["Sc", "Sc", "Sc", "Sc", "Co", "Co", "Co", "Co", "B", "B", "B", "B"], "fractional_positions": [[0.026, 0.250, 0.185], [0.474, 0.750, 0.685], [0.526, 0.250, 0.315], [0.974, 0.750, 0.815], [0.148, 0.250, 0.551], [0.352, 0.750, 0.051], [0.648, 0.250, 0.949], [0.852, 0.750, 0.449], [0.202, 0.750, 0.403], [0.298, 0.250, 0.903], [0.702, 0.750, 0.097], [0.798, 0.250, 0.597]]}